LaScHg2 | meta-GGA SCAN | PBEsol geometry

Cell lengths 5.204, 5.200, 5.200 Å; angles 60.01, 59.97, 59.97 degrees
Fractional positions:
Sc 0.500 0.000 0.000
Hg 0.750 0.250 0.250
Hg 0.250 0.750 0.750
La 0.000 0.500 0.500

**Space-group type**: Fm-3m (225)
**Excess energy over the best structure of this formula in the dataset**: 0.22 eV/f.u.
**Magnetic moment**: 0.0 μB per cell
**Total DFT energy (no corrections)**: -49.04 eV per atom